This record from the Alexandria database describes BaTlAs2Se after structural relaxation. The functional is PBE-GGA.

a b c (Å): 6.100 6.100 6.094
angles (deg): 90.00 90.00 90.00
Site moments in Bohr magnetons follow the coordinates.
Fractional coordinates of all 5 atoms:
As1 0.000 0.500 0.000  0.54
As2 0.500 0.000 0.000  0.54
Tl1 0.500 0.500 0.500  0.01
Ba1 0.000 0.000 0.000  0.04
Se1 0.000 0.000 0.500  0.14

Calculated values
D(E_F) in states/eV per cell: 6.2
Uncorrected formation energy in eV/atom: 0.5152
Distance to the lowest polymorph of the same formula in eV per atom: 0.564
SG: P4/mmm


This record from the Alexandria database describes ReTcAu2 after structural relaxation. The functional is PBE-GGA.

a b c (Å): 4.509 4.509 4.509
angles (deg): 60.00 60.00 60.00
Fractional coordinates of all 4 atoms:
Re1 0.500 0.500 0.500
Au1 0.250 0.250 0.250
Au2 0.750 0.750 0.750
Tc1 0.000 0.000 0.000

Calculated values
D(E_F) in states/eV per cell: 3.6
Formation energy in eV per atom: 0.752
Distance to the lowest polymorph of the same formula in eV per atom: 0.617
SG: Fm-3m